5
Lattice="4.7625 0.0000 0.0000 0.0000 4.7625 0.0000 0.0000 0.0000 4.8982" Properties=species:S:1:pos:R:3 comment="TaInMo2W PBE-GGA optimized geometry" delta_e_f_ev_per_atom=2.681 spacegroup="P4/mmm, No. 123" pbc="T T T"
Ta 0.0000 0.0000 0.0000
In 0.0000 0.0000 2.4491
Mo 0.0000 2.3812 2.4491
Mo 2.3812 0.0000 2.4491
W 2.3812 2.3812 0.0000



5
Lattice="4.7724 0.0000 0.0000 0.0000 4.7724 0.0000 0.0000 0.0000 4.9111" Properties=species:S:1:pos:R:3 comment="TaZnIn2Mo PBE-GGA optimized geometry" delta_e_f_ev_per_atom=1.352 spacegroup="P4/mmm, No. 123" pbc="T T T"
Ta 0.0000 0.0000 0.0000
Zn 0.0000 0.0000 2.4555
In 0.0000 2.3862 2.4555
In 2.3862 0.0000 2.4555
Mo 2.3862 2.3862 0.0000



16
Lattice="6.3875 0.0000 0.0000 0.0000 6.3875 0.0000 0.0000 0.0000 6.3875" Properties=species:S:1:pos:R:3 comment="InTc2Mo PBE-GGA optimized geometry" delta_e_f_ev_per_atom=0.414 spacegroup="F-43m, No. 216" pbc="T T T"
In 0.0000 0.0000 0.0000
In 0.0000 3.1937 3.1937
In 3.1937 0.0000 3.1937
In 3.1937 3.1937 0.0000
Tc 0.0000 0.0000 3.1937
Tc 0.0000 3.1937 0.0000
Tc 1.5969 1.5969 1.5969
Tc 1.5969 4.7906 4.7906
Tc 3.1937 0.0000 0.0000
Tc 3.1937 3.1937 3.1937
Tc 4.7906 1.5969 4.7906
Tc 4.7906 4.7906 1.5969
Mo 1.5969 1.5969 4.7906
Mo 1.5969 4.7906 1.5969
Mo 4.7906 1.5969 1.5969
Mo 4.7906 4.7906 4.7906